# 1
Material: SrIn
Method: DFT, PBE-GGA
State: optimized geometry

Values from the calculation:
Crystal system   tetragonal
Space-group type   I4_1/amd (141)
Energy of formation from the pure elements   -274 meV per atom

The structure in CIF format:
```
data_SrIn
_cell_length_a 6.432
_cell_length_b 6.432
_cell_length_c 6.432
_cell_angle_alpha 133.83
_cell_angle_beta 133.83
_cell_angle_gamma 67.35
_space_group_name_H-M_alt 'P 1'
_space_group_IT_number 1
_space_group_name_Hall 'P 1'
loop_
_atom_site_label
_atom_site_fract_x
_atom_site_fract_y
_atom_site_fract_z
_atom_site_occupancy
Sr1 0.375 0.625 0.750 1
Sr2 0.625 0.375 0.250 1
In1 0.125 0.875 0.250 1
In2 0.875 0.125 0.750 1
```



# 2
Material: Ac5Tb2Pm
Method: DFT, PBE-GGA
State: optimized geometry

Values from the calculation:
Crystal system   orthorhombic
Space-group type   Pbam (55)
Energy of formation from the pure elements   39 meV per atom

The structure in CIF format:
```
data_Ac5Tb2Pm
_cell_length_a 7.646
_cell_length_b 15.290
_cell_length_c 5.472
_cell_angle_alpha 90.00
_cell_angle_beta 90.00
_cell_angle_gamma 90.00
_space_group_name_H-M_alt 'P 1'
_space_group_IT_number 1
_space_group_name_Hall 'P 1'
loop_
_atom_site_label
_atom_site_fract_x
_atom_site_fract_y
_atom_site_fract_z
_atom_site_occupancy
Ac1 0.000 0.000 0.000 1
Ac2 0.009 0.253 0.000 1
Ac3 0.242 0.622 0.500 1
Ac4 0.258 0.122 0.500 1
Ac5 0.491 0.753 0.000 1
Ac6 0.500 0.500 0.000 1
Ac7 0.509 0.247 0.000 1
Ac8 0.742 0.878 0.500 1
Ac9 0.758 0.378 0.500 1
Ac10 0.991 0.747 0.000 1
Tb1 0.245 0.876 0.500 1
Tb2 0.255 0.376 0.500 1
Tb3 0.745 0.624 0.500 1
Tb4 0.755 0.124 0.500 1
Pm1 0.000 0.500 0.000 1
Pm2 0.500 0.000 0.000 1
```



# 3
Material: La3W
Method: DFT, PBE-GGA
State: optimized geometry

Values from the calculation:
Relative energy among the computed polymorphs   31 meV/atom
Crystal system   orthorhombic
Space-group type   Pmmn (59)
Energy of formation from the pure elements   444 meV per atom

The structure in CIF format:
```
data_La3W
_cell_length_a 3.835
_cell_length_b 9.558
_cell_length_c 7.162
_cell_angle_alpha 90.00
_cell_angle_beta 90.00
_cell_angle_gamma 90.00
_space_group_name_H-M_alt 'P 1'
_space_group_IT_number 1
_space_group_name_Hall 'P 1'
loop_
_atom_site_label
_atom_site_fract_x
_atom_site_fract_y
_atom_site_fract_z
_atom_site_occupancy
La1 0.250 0.064 0.192 1
La2 0.250 0.250 0.651 1
La3 0.250 0.436 0.192 1
La4 0.750 0.564 0.808 1
La5 0.750 0.750 0.349 1
La6 0.750 0.936 0.808 1
W1 0.250 0.750 0.038 1
W2 0.750 0.250 0.962 1
```



# 4
Material: Tb2CeSmSe6
Method: DFT, PBE-GGA
State: optimized geometry

Values from the calculation:
E_form (uncorrected)   -1823 meV per atom
Crystal system   trigonal
Space-group type   R3 (146)

The structure in CIF format:
```
data_Tb2CeSmSe6
_cell_length_a 7.797
_cell_length_b 7.797
_cell_length_c 7.797
_cell_angle_alpha 56.26
_cell_angle_beta 56.26
_cell_angle_gamma 56.26
_space_group_name_H-M_alt 'P 1'
_space_group_IT_number 1
_space_group_name_Hall 'P 1'
loop_
_atom_site_label
_atom_site_fract_x
_atom_site_fract_y
_atom_site_fract_z
_atom_site_occupancy
Tb1 0.000 0.000 0.000 1
Tb2 0.499 0.499 0.499 1
Ce1 0.200 0.200 0.200 1
Sm1 0.698 0.698 0.698 1
Se1 0.107 0.394 0.788 1
Se2 0.289 0.887 0.614 1
Se3 0.394 0.788 0.107 1
Se4 0.614 0.289 0.887 1
Se5 0.788 0.107 0.394 1
Se6 0.887 0.614 0.289 1
```



# 5
Material: UNi4Mo
Method: DFT, PBE-GGA
State: optimized geometry

Values from the calculation:
Crystal system   cubic
Space-group type   F-43m (216)
Energy of formation from the pure elements   -75 meV per atom

The structure in CIF format:
```
data_UNi4Mo
_cell_length_a 4.855
_cell_length_b 4.855
_cell_length_c 4.855
_cell_angle_alpha 60.00
_cell_angle_beta 60.00
_cell_angle_gamma 60.00
_space_group_name_H-M_alt 'P 1'
_space_group_IT_number 1
_space_group_name_Hall 'P 1'
loop_
_atom_site_label
_atom_site_fract_x
_atom_site_fract_y
_atom_site_fract_z
_atom_site_occupancy
U1 0.000 0.000 0.000 1
Ni1 0.129 0.624 0.624 1
Ni2 0.624 0.129 0.624 1
Ni3 0.624 0.624 0.129 1
Ni4 0.624 0.624 0.624 1
Mo1 0.250 0.250 0.250 1
```



# 6
Material: Ti8Si2Sb
Method: DFT, PBE-GGA
State: optimized geometry

Values from the calculation:
E_form (uncorrected)   -429 meV per atom
Crystal system   monoclinic
Space-group type   C2/m (12)

The structure in CIF format:
```
data_Ti8Si2Sb
_cell_length_a 7.375
_cell_length_b 7.375
_cell_length_c 6.887
_cell_angle_alpha 115.13
_cell_angle_beta 115.13
_cell_angle_gamma 32.82
_space_group_name_H-M_alt 'P 1'
_space_group_IT_number 1
_space_group_name_Hall 'P 1'
loop_
_atom_site_label
_atom_site_fract_x
_atom_site_fract_y
_atom_site_fract_z
_atom_site_occupancy
Ti1 0.036 0.036 0.249 1
Ti2 0.169 0.169 0.754 1
Ti3 0.320 0.320 0.592 1
Ti4 0.405 0.405 0.042 1
Ti5 0.595 0.595 0.958 1
Ti6 0.680 0.680 0.408 1
Ti7 0.831 0.831 0.246 1
Ti8 0.964 0.964 0.751 1
Si1 0.202 0.202 0.169 1
Si2 0.798 0.798 0.831 1
Sb1 0.500 0.500 0.500 1
```



Number 1: total DFT energy (no corrections) -2.4844 eV per atom, spin magnetization 0.00 μB per cell. Number 2: total DFT energy (no corrections) -4.2798 eV per atom, spin magnetization 0.00 μB per cell. Number 3: total DFT energy (no corrections) -6.4897 eV per atom, spin magnetization 0.00 μB per cell. Number 4: total DFT energy (no corrections) -5.9054 eV per atom, spin magnetization 1.01 μB per cell. Number 5: total DFT energy (no corrections) -7.6154 eV per atom, spin magnetization 0.79 μB per cell. Number 6: total DFT energy (no corrections) -7.5313 eV per atom, spin magnetization 0.00 μB per cell.